First-principles (PBE) data for an optimized crystal structure of NaCdP, as listed in Alexandria via LeMat-Bulk.

Properties
The calculation puts the magnetization at 0.00 Bohr magnetons per cell. For the calculated total energy, the calculation gives -2.77 eV per atom. As for the density of states at the Fermi level: 0.4 states/eV/cell. Its symmetry is P3m1, No. 156. The value obtained for the volume is 74.8 Å³/cell. The energy of formation from the pure elements comes out at -0.23 eV per atom.

abc: 4.558 4.354 4.354
angles: 120.00 90.00 90.00
Positions (direct):
P 0.165 0.000 0.000
Na 0.668 0.667 0.333
Cd 0.167 0.333 0.667

=====

First-principles (PBE) data for an optimized crystal structure of PmVMo, as listed in Alexandria via LeMat-Bulk.

Properties
The calculation puts the magnetization at 0.00 Bohr magnetons per cell. For the calculated total energy, the calculation gives -7.60 eV per atom. As for the density of states at the Fermi level: 9.0 states/eV/cell. Its symmetry is R3, No. 146. The value obtained for the volume is 195.4 Å³/cell. The energy of formation from the pure elements comes out at 0.63 eV per atom.

abc: 6.330 6.330 6.713
angles: 61.87 61.87 60.00
Positions (direct):
V 0.200 0.200 0.401
V 0.319 0.319 0.044
V 0.584 0.584 0.247
Pm 0.757 0.443 0.730
Pm 0.070 0.757 0.730
Pm 0.443 0.070 0.730
Mo 0.687 0.922 0.224
Mo 0.922 0.166 0.224
Mo 0.166 0.687 0.224

=====

First-principles (PBE) data for an optimized crystal structure of TmPaTl, as listed in Alexandria via LeMat-Bulk.

Properties
The calculation puts the magnetization at 1.48 Bohr magnetons per cell. For the calculated total energy, the calculation gives -5.20 eV per atom. The calculation puts the energy relative to the lowest polymorph listed for this composition at 182 meV/atom. As for the density of states at the Fermi level: 5.7 states/eV/cell. Its symmetry is P3m1, No. 156. The value obtained for the volume is 82.0 Å³/cell. The energy of formation from the pure elements comes out at 0.25 eV per atom.

abc: 3.298 5.359 5.359
angles: 120.00 90.00 90.00
Each line ends with the local moment (μB).
Positions (direct):
Tl 0.939 0.000 0.000  -0.01
Pa 0.298 0.333 0.667  1.05
Tm 0.763 0.667 0.333  0.19

=====

- Look up the magnetization of the third one.
  1.48 Bohr magnetons per cell